A geometry-optimized CoMo2PtSe structure, computed with PBE-GGA.

The energy relative to the elements, uncorrected comes out at 1612 meV per atom.

a = 4.8428 Å, b = 4.5227 Å, c = 4.8428 Å
α = 90.00°, β = 90.00°, γ = 90.00°
Fractional coordinates of all 5 atoms:
1 Pt 0.0000 0.0000 0.0000
2 Mo 0.0000 0.0000 0.5000
3 Mo 0.5000 0.0000 0.0000
4 Se 0.5000 0.5000 0.5000
5 Co 0.0000 0.5000 0.0000


A geometry-optimized CoTc2MoPt structure, computed with PBE-GGA.

For the calculated formation energy, the calculation gives 2.28 eV per atom.

a = 4.6948 Å, b = 4.7209 Å, c = 4.6948 Å
α = 90.00°, β = 90.00°, γ = 90.00°
Fractional coordinates of all 5 atoms:
1 Mo 0.0000 0.5000 0.0000
2 Tc 0.5000 0.0000 0.0000
3 Tc 0.0000 0.0000 0.5000
4 Pt 0.0000 0.0000 0.0000
5 Co 0.5000 0.5000 0.5000


A geometry-optimized CoMoPt2W structure, computed with PBE-GGA.

For the calculated formation energy, the calculation gives 1.26 eV per atom.

a = 4.5200 Å, b = 4.2709 Å, c = 4.5200 Å
α = 90.00°, β = 90.00°, γ = 90.00°
Fractional coordinates of all 5 atoms:
1 Pt 0.5000 0.0000 0.0000
2 Pt 0.0000 0.0000 0.5000
3 Co 0.0000 0.0000 0.0000
4 W 0.0000 0.5000 0.0000
5 Mo 0.5000 0.5000 0.5000


A geometry-optimized PuCoMo structure, computed with PBE-GGA.

For the calculated formation energy, the calculation gives 0.15 eV per atom.

a = 5.3895 Å, b = 4.9253 Å, c = 9.2720 Å
α = 80.85°, β = 73.10°, γ = 56.83°
Fractional coordinates of all 12 atoms:
1 Co 0.1295 0.0000 0.7410
2 Co 0.6205 0.5000 0.7590
3 Co 0.8705 0.0000 0.2590
4 Co 0.8795 0.5000 0.2410
5 Mo 0.5889 0.8223 0.5000
6 Mo 0.9111 0.1777 0.5000
7 Mo 0.1611 0.6777 0.0000
8 Mo 0.8389 0.3223 0.0000
9 Pu 0.5781 0.0000 0.8438
10 Pu 0.1719 0.5000 0.6562
11 Pu 0.3281 0.5000 0.3438
12 Pu 0.4219 0.0000 0.1562


A geometry-optimized PuCo4Mo structure, computed with PBE-GGA.

For the calculated formation energy, the calculation gives 0.08 eV per atom.

a = 4.8245 Å, b = 4.8245 Å, c = 4.8245 Å
α = 60.00°, β = 60.00°, γ = 60.00°
Fractional coordinates of all 6 atoms:
1 Pu 0.2500 0.2500 0.2500
2 Co 0.1253 0.6249 0.6249
3 Co 0.6249 0.6249 0.6249
4 Co 0.6249 0.6249 0.1253
5 Co 0.6249 0.1253 0.6249
6 Mo 0.0000 0.0000 0.0000


A geometry-optimized PuCo2Mo structure, computed with PBE-GGA.

The polymorph energy (0 for the lowest one) comes out at 0.0 meV/atom. For the calculated formation energy, the calculation gives 0.16 eV per atom.

a = 2.8280 Å, b = 2.8280 Å, c = 7.4357 Å
α = 90.00°, β = 90.00°, γ = 90.00°
Fractional coordinates of all 4 atoms:
1 Co 0.0000 0.0000 0.7828
2 Co 0.0000 0.0000 0.2172
3 Pu 0.5000 0.5000 0.5000
4 Mo 0.5000 0.5000 0.0000


A geometry-optimized PuCo2Mo structure, computed with PBE-GGA.

The polymorph energy (0 for the lowest one) comes out at 147.8 meV/atom. For the calculated formation energy, the calculation gives 0.31 eV per atom.

a = 4.4388 Å, b = 4.4388 Å, c = 4.4320 Å
α = 59.95°, β = 59.95°, γ = 60.00°
Fractional coordinates of all 4 atoms:
1 Pu 0.0000 0.0000 0.0000
2 Mo 0.5000 0.5000 0.5000
3 Co 0.2498 0.2498 0.2506
4 Co 0.7502 0.7502 0.7494


A geometry-optimized PuTiCoMo structure, computed with PBE-GGA.

For the calculated formation energy, the calculation gives 0.01 eV per atom.

a = 4.5202 Å, b = 4.5202 Å, c = 4.5202 Å
α = 60.00°, β = 60.00°, γ = 60.00°
Fractional coordinates of all 4 atoms:
1 Pu 0.0000 0.0000 0.0000
2 Ti 0.5000 0.5000 0.5000
3 Mo 0.7500 0.7500 0.7500
4 Co 0.2500 0.2500 0.2500


For the records above, the corresponding total DFT energy (no corrections) values read -30.231; -33.325; -36.651; -127.284; -53.097; -38.733; -38.142; -40.142 eV for the cell shown.
For the records above, the corresponding total magnetic moment values read 0.540; 0.028; 0.000; 1.379; 0.584; 1.394; 0.351; 0.915 μB/atom.